## HfScPb2 (GGA-PBE)

Data for a relaxed HfScPb2 crystal.

E above lowest polymorph (eV per atom): 0.042
Formation energy from the elements (eV/f.u.): -0.2
N(E_F) (states/eV per atom): 1.286
Symmetry: P4/mmm (123)

Unit cell a=4.7169 b=4.7169 c=4.3063 alpha=90.00 beta=90.00 gamma=90.00
Positions (direct):
Hf: 0.0000 0.0000 0.0000
Sc: 0.5000 0.5000 0.0000
Pb: 0.0000 0.5000 0.5000
Pb: 0.5000 0.0000 0.5000

=====

## HfSc2Pb2 (GGA-PBE)

Data for a relaxed HfSc2Pb2 crystal.

E above lowest polymorph (eV per atom): 0.224
Formation energy from the elements (eV/f.u.): 0.2
N(E_F) (states/eV per atom): 0.764
Symmetry: P4/mbm (127)

Unit cell a=8.5697 b=8.5697 c=3.3280 alpha=90.00 beta=90.00 gamma=90.00
Positions (direct):
Hf: 0.0000 0.0000 0.0000
Hf: 0.5000 0.5000 0.0000
Sc: 0.1251 0.3749 0.0000
Sc: 0.3749 0.8749 0.0000
Sc: 0.6251 0.1251 0.0000
Sc: 0.8749 0.6251 0.0000
Pb: 0.1753 0.6753 0.5000
Pb: 0.3247 0.1753 0.5000
Pb: 0.6753 0.8247 0.5000
Pb: 0.8247 0.3247 0.5000

=====

## HfScPb (GGA-PBE)

Data for a relaxed HfScPb crystal.

E above lowest polymorph (eV per atom): 0.158
Formation energy from the elements (eV/f.u.): -0.4
N(E_F) (states/eV per atom): 1.231
Symmetry: P-62m (189)

Unit cell a=7.9441 b=7.9441 c=3.8587 alpha=90.00 beta=90.00 gamma=120.00
Positions (direct):
Hf: 0.0000 0.6043 0.0000
Hf: 0.3957 0.3957 0.0000
Hf: 0.6043 0.0000 0.0000
Sc: 0.0000 0.2699 0.5000
Sc: 0.2699 0.0000 0.5000
Sc: 0.7301 0.7301 0.5000
Pb: 0.0000 0.0000 0.0000
Pb: 0.3333 0.6667 0.5000
Pb: 0.6667 0.3333 0.5000

=====

## HfScPb2 (GGA-PBE)

Data for a relaxed HfScPb2 crystal.

E above lowest polymorph (eV per atom): 0.124
Formation energy from the elements (eV/f.u.): 0.1
N(E_F) (states/eV per atom): 1.146
Symmetry: Fm-3m (225)

Unit cell a=5.1621 b=5.1621 c=5.1621 alpha=60.00 beta=60.00 gamma=60.00
Positions (direct):
Hf: 0.0000 0.0000 0.0000
Sc: 0.5000 0.5000 0.5000
Pb: 0.2500 0.2500 0.2500
Pb: 0.7500 0.7500 0.7500

=====

## Hf3ScPb (GGA-PBE)

Data for a relaxed Hf3ScPb crystal.

E above lowest polymorph (eV per atom): 0.000
Formation energy from the elements (eV/f.u.): 5.8
N(E_F) (states/eV per atom): 1.717
Symmetry: Pm-3m (221)

Unit cell a=5.0692 b=5.0692 c=5.0692 alpha=90.00 beta=90.00 gamma=90.00
Positions (direct):
Hf: 0.0000 0.0000 0.5000
Hf: 0.0000 0.5000 0.0000
Hf: 0.5000 0.0000 0.0000
Sc: 0.0000 0.0000 0.0000
Pb: 0.5000 0.5000 0.5000

=====

## HfScPb2 (GGA-PBE)

Data for a relaxed HfScPb2 crystal.

E above lowest polymorph (eV per atom): 0.000
Formation energy from the elements (eV/f.u.): -0.4
N(E_F) (states/eV per atom): 0.482
Symmetry: P4/mmm (123)

Unit cell a=3.3281 b=3.3281 c=8.6830 alpha=90.00 beta=90.00 gamma=90.00
Positions (direct):
Hf: 0.0000 0.0000 0.0000
Sc: 0.0000 0.0000 0.5000
Pb: 0.5000 0.5000 0.2499
Pb: 0.5000 0.5000 0.7501

=====

## HfSc2Pb2 (GGA-PBE)

Data for a relaxed HfSc2Pb2 crystal.

E above lowest polymorph (eV per atom): 0.000
Formation energy from the elements (eV/f.u.): -1.0
N(E_F) (states/eV per atom): 0.885
Symmetry: P4/mbm (127)

Unit cell a=7.8194 b=7.8194 c=3.9901 alpha=90.00 beta=90.00 gamma=90.00
Positions (direct):
Hf: 0.0000 0.0000 0.0000
Hf: 0.5000 0.5000 0.0000
Sc: 0.1622 0.3378 0.5000
Sc: 0.3378 0.8378 0.5000
Sc: 0.6622 0.1622 0.5000
Sc: 0.8378 0.6622 0.5000
Pb: 0.1438 0.6438 0.0000
Pb: 0.3562 0.1438 0.0000
Pb: 0.6438 0.8562 0.0000
Pb: 0.8562 0.3562 0.0000

=====

## HfScPb3 (GGA-PBE)

Data for a relaxed HfScPb3 crystal.

E above lowest polymorph (eV per atom): 0.000
Formation energy from the elements (eV/f.u.): 2.6
N(E_F) (states/eV per atom): 1.343
Symmetry: Pm-3m (221)

Unit cell a=5.5649 b=5.5649 c=5.5649 alpha=90.00 beta=90.00 gamma=90.00
Positions (direct):
Hf: 0.0000 0.0000 0.0000
Sc: 0.5000 0.5000 0.5000
Pb: 0.0000 0.0000 0.5000
Pb: 0.0000 0.5000 0.0000
Pb: 0.5000 0.0000 0.0000

=====

## HfScPb (GGA-PBE)

Data for a relaxed HfScPb crystal.

E above lowest polymorph (eV per atom): 0.000
Formation energy from the elements (eV/f.u.): -0.9
N(E_F) (states/eV per atom): 0.592
Symmetry: P4/nmm (129)

Unit cell a=4.2759 b=4.2759 c=7.9321 alpha=90.00 beta=90.00 gamma=90.00
Positions (direct):
Hf: 0.2500 0.7500 0.0000
Hf: 0.7500 0.2500 0.0000
Sc: 0.2500 0.2500 0.3257
Sc: 0.7500 0.7500 0.6743
Pb: 0.2500 0.2500 0.7093
Pb: 0.7500 0.7500 0.2907

=====

## HfScPb2 (GGA-PBE)

Data for a relaxed HfScPb2 crystal.

E above lowest polymorph (eV per atom): 0.073
Formation energy from the elements (eV/f.u.): -0.1
N(E_F) (states/eV per atom): 0.341
Symmetry: R-3m (166)

Unit cell a=7.8100 b=7.8100 c=7.8100 alpha=29.90 beta=29.90 gamma=29.90
Positions (direct):
Hf: 0.0000 0.0000 0.0000
Sc: 0.5000 0.5000 0.5000
Pb: 0.2507 0.2507 0.2507
Pb: 0.7493 0.7493 0.7493

=====

Copy entry 1 word for word.
## HfScPb2 (GGA-PBE)

Data for a relaxed HfScPb2 crystal.

E above lowest polymorph (eV per atom): 0.042
Formation energy from the elements (eV/f.u.): -0.2
N(E_F) (states/eV per atom): 1.286
Symmetry: P4/mmm (123)

Unit cell a=4.7169 b=4.7169 c=4.3063 alpha=90.00 beta=90.00 gamma=90.00
Positions (direct):
Hf: 0.0000 0.0000 0.0000
Sc: 0.5000 0.5000 0.0000
Pb: 0.0000 0.5000 0.5000
Pb: 0.5000 0.0000 0.5000